5
Lattice="5.538 0.000 0.000 0.000 5.538 0.000 0.000 0.000 5.167" Properties=species:S:1:pos:R:3 comment="TlCd2HgRh (GGA-PBE, optimized geometry)" n_ef_per_ev_cell=5.70 total_magnetization_mub_per_fu=0.70 sg="P4/mmm (123)" formation_energy_ev_per_atom=0.793 total_energy_ev_per_cell=-7.89 polymorph_energy_ev_per_atom=0.732 pbc="T T T"
Tl 0.000 0.000 0.000
Cd 0.000 2.769 0.000
Cd 2.769 0.000 0.000
Hg 2.769 2.769 2.584
Rh 0.000 0.000 2.584



5
Lattice="5.255 0.000 0.000 0.000 5.255 0.000 0.000 0.000 5.265" Properties=species:S:1:pos:R:3 comment="TlCd2HgRh (GGA-PBE, optimized geometry)" n_ef_per_ev_cell=1.64 total_magnetization_mub_per_fu=0.00 sg="P4/mmm (123)" formation_energy_ev_per_atom=0.061 total_energy_ev_per_cell=-11.54 polymorph_energy_ev_per_atom=0.000 pbc="T T T"
Tl 0.000 0.000 0.000
Cd 0.000 2.627 2.633
Cd 2.627 0.000 2.633
Hg 2.627 2.627 0.000
Rh 0.000 0.000 2.633



8
Lattice="2.559 1.478 8.252 -2.559 1.478 8.252 0.000 -2.955 8.252" Properties=species:S:1:pos:R:3 comment="Tm4CdHg2Rh (GGA-PBE, optimized geometry)" n_ef_per_ev_cell=4.32 total_magnetization_mub_per_fu=0.00 sg="R-3m (166)" formation_energy_ev_per_atom=-0.553 total_energy_ev_per_cell=-31.18 pbc="T T T"
Tm 0.000 0.000 2.824
Tm 0.000 0.000 9.110
Tm 0.000 0.000 15.645
Tm 0.000 0.000 21.930
Cd 0.000 0.000 12.377
Hg 0.000 0.000 5.946
Hg 0.000 0.000 18.809
Rh 0.000 0.000 0.000